*a*
PBE Dy3AgHg, optimized geometry; V = 26.39 Å³ per atom; magnetization = 0.00 μB per atom; theoretical density = 10015 kg/m3
1.0
2.5938 -9.8060 0.0000
2.5938 9.8060 0.0000
0.0000 0.0000 5.1884
Dy Ag Hg
6 2 2
Direct
0.0627 0.9373 0.7500 Dy
0.2497 0.7503 0.7500 Dy
0.4365 0.5635 0.7500 Dy
0.5635 0.4365 0.2500 Dy
0.7503 0.2497 0.2500 Dy
0.9373 0.0627 0.2500 Dy
0.3424 0.6576 0.2500 Ag
0.6576 0.3424 0.7500 Ag
0.1551 0.8449 0.2500 Hg
0.8449 0.1551 0.7500 Hg

***

*b*
PBE Dy3AgHg, optimized geometry; V = 27.52 Å³ per atom; magnetization = 0.00 μB per atom; theoretical density = 9604 kg/m3
1.0
8.3792 0.0000 0.0000
0.0000 3.6277 0.0000
-3.1782 0.0000 9.0548
Dy Ag Hg
6 2 2
Direct
0.0000 0.0000 0.0000 Dy
0.0111 0.0000 0.3791 Dy
0.3908 0.5000 0.9555 Dy
0.4474 0.0000 0.6070 Dy
0.5633 0.0000 0.2953 Dy
0.8231 0.5000 0.6068 Dy
0.6864 0.5000 0.8490 Ag
0.7771 0.5000 0.1582 Ag
0.1441 0.0000 0.7258 Hg
0.2486 0.5000 0.2581 Hg

***

It is *a* that is most stable; the runner-up trails by 96 meV per atom.

***

*a*
PBE Dy4AgHg3, optimized geometry; V = 26.01 Å³ per atom; magnetization = 0.00 μB per atom; theoretical density = 10852 kg/m3
1.0
3.7580 0.0000 0.0000
0.0000 4.8204 0.0000
0.0000 0.0000 11.4848
Dy Ag Hg
4 1 3
Direct
0.0000 0.0000 0.0000 Dy
0.0000 0.5000 0.2866 Dy
0.5000 0.0000 0.4917 Dy
0.5000 0.5000 0.7916 Dy
0.5000 0.0000 0.2243 Ag
0.0000 0.0000 0.7290 Hg
0.0000 0.5000 0.5560 Hg
0.5000 0.5000 0.0614 Hg

***

*b*
PBE Dy4AgHg3, optimized geometry; V = 25.30 Å³ per atom; magnetization = 0.00 μB per atom; theoretical density = 11156 kg/m3
1.0
15.6890 0.0000 0.0000
0.0000 5.2302 0.0000
-1.7383 0.0000 4.9328
Dy Ag Hg
8 2 6
Direct
0.1232 0.0000 0.1232 Dy
0.1232 0.5000 0.6232 Dy
0.3768 0.0000 0.3768 Dy
0.3768 0.5000 0.8768 Dy
0.6232 0.0000 0.6232 Dy
0.6232 0.5000 0.1232 Dy
0.8768 0.0000 0.8768 Dy
0.8768 0.5000 0.3768 Dy
0.0000 0.0000 0.5000 Ag
0.5000 0.5000 0.5000 Ag
0.0000 0.5000 0.0000 Hg
0.2499 0.0000 0.7499 Hg
0.2501 0.5000 0.2501 Hg
0.5000 0.0000 0.0000 Hg
0.7501 0.0000 0.2501 Hg
0.7499 0.5000 0.7499 Hg

***

It is *b* that is most stable; the runner-up trails by 44 meV per atom.

***

*a*
PBE Dy4Ag3Hg, optimized geometry; V = 24.46 Å³ per atom; magnetization = 0.00 μB per atom; theoretical density = 9963 kg/m3
1.0
3.6501 0.0000 0.0000
0.0000 3.6501 0.0000
0.0000 0.0000 14.6890
Dy Ag Hg
4 3 1
Direct
0.0000 0.0000 0.1248 Dy
0.0000 0.0000 0.3717 Dy
0.0000 0.0000 0.6283 Dy
0.0000 0.0000 0.8752 Dy
0.5000 0.5000 0.0000 Ag
0.5000 0.5000 0.2478 Ag
0.5000 0.5000 0.7522 Ag
0.5000 0.5000 0.5000 Hg

***

*b*
PBE Dy4Ag3Hg, optimized geometry; V = 25.10 Å³ per atom; magnetization = 0.00 μB per atom; theoretical density = 9711 kg/m3
1.0
3.6797 0.0000 0.0000
0.0000 4.8515 0.0000
0.0000 0.0000 11.2469
Dy Ag Hg
4 3 1
Direct
0.0000 0.0000 0.0000 Dy
0.0000 0.5000 0.2815 Dy
0.5000 0.0000 0.4897 Dy
0.5000 0.5000 0.7875 Dy
0.0000 0.5000 0.5565 Ag
0.5000 0.0000 0.2194 Ag
0.5000 0.5000 0.0612 Ag
0.0000 0.0000 0.7225 Hg

***

It is *a* that is most stable; the runner-up trails by 39 meV per atom.

***

*a*
PBE DyAg2Hg2, optimized geometry; V = 21.68 Å³ per atom; magnetization = 0.00 μB per atom; theoretical density = 11942 kg/m3
1.0
5.6255 0.0000 0.0000
0.0000 5.0411 0.0000
-1.9583 0.0000 7.6435
Dy Ag Hg
2 4 4
Direct
0.2422 0.2500 0.2856 Dy
0.7578 0.7500 0.7144 Dy
0.3591 0.7500 0.9284 Ag
0.4249 0.2500 0.6954 Ag
0.5751 0.7500 0.3046 Ag
0.6409 0.2500 0.0716 Ag
0.0546 0.2500 0.8827 Hg
0.1948 0.7500 0.5228 Hg
0.8052 0.2500 0.4772 Hg
0.9454 0.7500 0.1173 Hg

***

*b*
PBE DyAg2Hg2, optimized geometry; V = 23.04 Å³ per atom; magnetization = 0.00 μB per atom; theoretical density = 11234 kg/m3
1.0
5.7557 0.0000 0.0000
0.0000 5.7464 0.0000
-2.8628 0.0000 6.9666
Dy Ag Hg
2 4 4
Direct
0.0000 0.0000 0.0000 Dy
0.5000 0.5000 0.0000 Dy
0.0000 0.2504 0.5000 Ag
0.0000 0.7496 0.5000 Ag
0.5000 0.2496 0.5000 Ag
0.5000 0.7504 0.5000 Ag
0.1060 0.5000 0.2080 Hg
0.3940 0.0000 0.7920 Hg
0.6060 0.0000 0.2080 Hg
0.8940 0.5000 0.7920 Hg

***

It is *a* that is most stable; the runner-up trails by 92 meV per atom.